Below is a geometry-optimized RbCrBiF6 structure, with properties calculated at the GGA+U level.

Output
Its total DFT energy (no corrections) is -46.660 eV/cell. The calculation puts the magnetization at 4.00 μB/cell. As for the space-group type: P1 (1).

POSCAR file:
```
RbCrBiF6
1.0
5.369 0.000 0.000
0.045 5.905 0.000
0.050 2.918 5.430
Rb Cr Bi F
1 1 1 6
Direct
0.000 0.000 0.000
0.438 0.339 0.323
0.498 0.679 0.662
0.209 0.468 0.926
0.236 0.031 0.573
0.260 0.606 0.400
0.624 0.060 0.288
0.637 0.625 0.046
0.656 0.332 0.658
```